# 1
! Cd6PtAu, optimized geometry, DFT PBE; values from VASP
! calculated volume: 173 Å³ per cell
! magnetic moment: 0.00 μB per cell
! ΔH_f (0 K): -0.1078 eV per atom
! theoretical density: 10.2 g/cm3
! crystal system: triclinic
&SYSTEM
  ibrav = 0, nat = 8, ntyp = 3
/
ATOMIC_SPECIES
Cd 112.41 Cd.upf
Au 196.97 Au.upf
Pt 195.08 Pt.upf
ATOMIC_POSITIONS crystal
Cd 0.0607 0.4852 0.2907
Cd 0.2583 0.7396 0.7543
Cd 0.4368 0.0038 0.2246
Cd 0.9393 0.5148 0.7093
Cd 0.5632 0.9962 0.7754
Cd 0.7417 0.2604 0.2457
Au 0.0000 0.0000 0.0000
Pt 0.5000 0.5000 0.5000
CELL_PARAMETERS angstrom
-2.7800 0.4763 4.1664
2.6873 -1.1240 6.3584
3.6370 4.7914 3.4894

# 2
! TmUAl4, optimized geometry, DFT PBE; values from VASP
! calculated volume: 119 Å³ per cell
! magnetic moment: 2.75 μB per cell
! ΔH_f (0 K): -0.2352 eV per atom
! theoretical density: 7.2 g/cm3
! crystal system: cubic
&SYSTEM
  ibrav = 0, nat = 6, ntyp = 3
/
ATOMIC_SPECIES
Al 26.98 Al.upf
U 238.03 U.upf
Tm 168.93 Tm.upf
ATOMIC_POSITIONS crystal
Al 0.6255 0.6255 0.6255
Al 0.6255 0.1234 0.6255
Al 0.1234 0.6255 0.6255
Al 0.6255 0.6255 0.1234
U 0.0000 0.0000 0.0000
Tm 0.2500 0.2500 0.2500
CELL_PARAMETERS angstrom
5.5170 0.0000 0.0000
2.7585 4.7779 0.0000
2.7585 1.5926 4.5046